[1]
VASP calculation (PBE) on a geometry-optimized ZrW3S structure.

It has space group Pm-3m (No. 221), with a = 4.475 Å, b = 4.475 Å, c = 4.475 Å, α = 90.00°, β = 90.00° and γ = 90.00°. The asymmetric unit holds Zr at (0.000, 0.000, 0.000), W at (0.000, 0.500, 0.500) and S at (0.500, 0.500, 0.500).

Its energy above the most stable polymorph in this dataset is 0 meV/atom. As for the formation energy from raw total energies: 0.536 eV/atom.


[2]
VASP calculation (PBE) on a geometry-optimized MgTiCu2O structure.

It has space group P4/mmm (No. 123), with a = 4.710 Å, b = 4.710 Å, c = 3.592 Å, α = 90.00°, β = 90.00° and γ = 90.00°. The asymmetric unit holds Mg at (0.000, 0.000, 0.000), Ti at (0.500, 0.500, 0.500), Cu at (0.000, 0.500, 0.000) and O at (0.000, 0.000, 0.500).

As for the formation energy from raw total energies: 0.208 eV/atom.


[3]
VASP calculation (PBE) on a geometry-optimized CeTiCu2 structure.

It has space group P4/mmm (No. 123), with a = 3.124 Å, b = 3.124 Å, c = 7.186 Å, α = 90.00°, β = 90.00° and γ = 90.00°. The asymmetric unit holds Ce at (0.000, 0.000, 0.000), Ti at (0.000, 0.000, 0.500) and Cu at (0.500, 0.500, 0.304).

The value obtained for the formation energy from the elements is -0.033 eV per atom.


[4]
VASP calculation (PBE) on a geometry-optimized Ac2RuPbO5 structure.

It has space group P4/mbm (No. 127), with a = 7.232 Å, b = 7.232 Å, c = 5.852 Å, α = 90.00°, β = 90.00° and γ = 90.00°. The asymmetric unit holds Ac at (0.175, 0.325, 0.000), Ru at (0.000, 0.500, 0.500), Pb at (0.000, 0.000, 0.500), O at (0.000, 0.000, 0.000) and O at (0.138, 0.638, 0.258).

As for the formation energy from raw total energies: -2.049 eV/atom.


[5]
VASP calculation (PBE) on a geometry-optimized ZnNi3Pt2 structure.

It has space group I4_1/amd (No. 141, origin choice 2), with a = 8.167 Å, b = 8.167 Å, c = 10.473 Å, α = 90.00°, β = 90.00° and γ = 90.00°. The asymmetric unit holds Zn at (0.000, 0.250, 0.046), Ni at (0.000, 0.000, 0.500), Ni at (0.228, 0.022, 0.875) and Pt at (0.000, 0.065, 0.267).

The value obtained for the formation energy from the elements is 0.008 eV per atom.


[6]
VASP calculation (PBE) on a geometry-optimized CaMn4Cu structure.

It has space group F-43m (No. 216), with a = 7.417 Å, b = 7.417 Å, c = 7.417 Å, α = 90.00°, β = 90.00° and γ = 90.00°. The asymmetric unit holds Ca at (0.000, 0.000, 0.000), Mn at (0.124, 0.124, 0.376) and Cu at (0.250, 0.250, 0.750).

The value obtained for the formation energy from the elements is 0.558 eV per atom.


[7]
VASP calculation (PBE) on a geometry-optimized LiAlIrRu structure.

It has space group F-43m (No. 216), with a = 5.937 Å, b = 5.937 Å, c = 5.937 Å, α = 90.00°, β = 90.00° and γ = 90.00°. The asymmetric unit holds Li at (0.000, 0.000, 0.000), Al at (0.000, 0.000, 0.500), Ir at (0.250, 0.250, 0.250) and Ru at (0.250, 0.250, 0.750).

Its energy above the most stable polymorph in this dataset is 0 meV/atom. The value obtained for the formation energy from the elements is -0.305 eV per atom.


[8]
VASP calculation (PBE) on a geometry-optimized Mn3BiW structure.

It has space group Pm-3m (No. 221), with a = 4.698 Å, b = 4.698 Å, c = 4.698 Å, α = 90.00°, β = 90.00° and γ = 90.00°. The asymmetric unit holds Mn at (0.000, 0.000, 0.500), Bi at (0.500, 0.500, 0.500) and W at (0.000, 0.000, 0.000).

Its energy above the most stable polymorph in this dataset is 0 meV/atom. The value obtained for the formation energy from the elements is 1.175 eV per atom.


[9]
VASP calculation (PBE) on a geometry-optimized La12NdEr5 structure.

It has space group C2/m (No. 12), with a = 19.089 Å, b = 10.920 Å, c = 6.372 Å, α = 90.00°, β = 109.20° and γ = 90.00°. The asymmetric unit holds La at (0.000, 0.168, 0.000), La at (0.000, 0.328, 0.500), La at (0.167, 0.170, 0.834), La at (0.167, 0.329, 0.335), Nd at (0.000, 0.500, 0.000), Er at (0.000, 0.000, 0.500), Er at (0.167, 0.000, 0.335) and Er at (0.168, 0.500, 0.832).

The value obtained for the formation energy from the elements is 0.020 eV per atom.


[10]
VASP calculation (PBE) on a geometry-optimized TcGe3S structure.

It has space group Pm-3m (No. 221), with a = 4.708 Å, b = 4.708 Å, c = 4.708 Å, α = 90.00°, β = 90.00° and γ = 90.00°. The asymmetric unit holds Tc at (0.000, 0.000, 0.000), Ge at (0.000, 0.500, 0.500) and S at (0.500, 0.500, 0.500).

Its energy above the most stable polymorph in this dataset is 823 meV/atom. As for the formation energy from raw total energies: 1.096 eV/atom.


[11]
VASP calculation (PBE) on a geometry-optimized LaZn2Cu4 structure.

It has space group C2/m (No. 12), with a = 8.326 Å, b = 6.552 Å, c = 5.147 Å, α = 90.00°, β = 127.81° and γ = 90.00°. The asymmetric unit holds La at (0.000, 0.000, 0.000), Zn at (0.000, 0.500, 0.249) and Cu at (0.189, 0.189, 0.688).

Its energy above the most stable polymorph in this dataset is 0 meV/atom. The value obtained for the formation energy from the elements is -0.208 eV per atom.


[12]
VASP calculation (PBE) on a geometry-optimized Li2CoPtAu structure.

It has space group P4/mmm (No. 123), with a = 4.401 Å, b = 4.401 Å, c = 5.133 Å, α = 90.00°, β = 90.00° and γ = 90.00°. The asymmetric unit holds Li at (0.000, 0.500, 0.000), Co at (0.000, 0.000, 0.500), Pt at (0.500, 0.500, 0.500) and Au at (0.500, 0.500, 0.000).

The value obtained for the formation energy from the elements is 0.637 eV per atom.


Number 1: calculated volume 17.92 Å³/atom, total energy -9.77 eV per atom. Number 2: calculated volume 15.94 Å³/atom, total energy -4.32 eV per atom. Number 3: calculated volume 17.53 Å³/atom, total energy -5.54 eV per atom. Number 4: calculated volume 17.00 Å³/atom, total energy -7.16 eV per atom. Number 5: calculated volume 14.55 Å³/atom, total energy -5.11 eV per atom. Number 6: calculated volume 17.00 Å³/atom, total energy -6.57 eV per atom. Number 7: calculated volume 13.08 Å³/atom, total energy -6.25 eV per atom. Number 8: calculated volume 20.74 Å³/atom, total energy -7.69 eV per atom. Number 9: calculated volume 34.84 Å³/atom, total energy -4.80 eV per atom. Number 10: calculated volume 20.88 Å³/atom, total energy -4.57 eV per atom. Number 11: calculated volume 15.84 Å³/atom, total energy -3.62 eV per atom. Number 12: calculated volume 19.89 Å³/atom, total energy -3.41 eV per atom.